# 1
## HfRe2H (PBE)

Data for an optimized crystal structure of HfRe2H.

a = 5.4632 Å, b = 5.4632 Å, c = 5.4632 Å
α = 120.18°, β = 120.18°, γ = 89.70°
Last column: nearest neighbours and their distance in Å.
Sites, in units of the cell vectors:
1 Hf 0.3750 0.6250 0.7500  12 Re 3.20-3.21, 4 Hf 3.34, 4 H 3.34
2 Hf 0.6250 0.3750 0.2500  12 Re 3.20-3.21, 4 Hf 3.34, 4 H 3.34
3 Re 0.0000 0.0000 0.0000  2 H 1.67
4 Re 0.0000 0.0000 0.5000  2 H 1.67
5 Re 0.0000 0.5000 0.0000  2 H 1.67
6 Re 0.5000 0.0000 0.5000  2 H 1.67
7 H 0.1250 0.8750 0.2500  4 Re 1.67
8 H 0.8750 0.1250 0.7500  4 Re 1.67

Values from the calculation:
- E (eV/atom) = -9.35
- crystal system = tetragonal

***

# 2
## BaTa2Ni (PBE)

Data for an optimized crystal structure of BaTa2Ni.

a = 10.5346 Å, b = 10.5346 Å, c = 10.5346 Å
α = 16.71°, β = 16.71°, γ = 16.71°
Last column: nearest neighbours and their distance in Å.
Sites, in units of the cell vectors:
1 Ba 0.0000 0.0000 0.0000  6 Ba 3.06
2 Ta 0.2298 0.2298 0.2298  3 Ni 2.64
3 Ta 0.7702 0.7702 0.7702  3 Ni 2.64
4 Ni 0.5000 0.5000 0.5000  6 Ta 2.64

Values from the calculation:
- E (eV/atom) = -7.00
- crystal system = trigonal
- formation enthalpy at 0 K (eV/atom) = 0.853

***

# 3
## CaTc (PBE)

Data for an optimized crystal structure of CaTc.

a = 8.2287 Å, b = 8.2287 Å, c = 8.2287 Å
α = 90.00°, β = 90.00°, γ = 90.00°
Last column: nearest neighbours and their distance in Å.
Sites, in units of the cell vectors:
1 Ca 0.0000 0.2500 0.5000  4 Tc 2.91
2 Ca 0.0000 0.7500 0.5000  4 Tc 2.91
3 Ca 0.2500 0.5000 0.0000  4 Tc 2.91
4 Ca 0.5000 0.0000 0.2500  4 Tc 2.91
5 Ca 0.5000 0.0000 0.7500  4 Tc 2.91
6 Ca 0.7500 0.5000 0.0000  4 Tc 2.91
7 Tc 0.0000 0.5000 0.2500  4 Ca 2.91
8 Tc 0.0000 0.5000 0.7500  4 Ca 2.91
9 Tc 0.2500 0.0000 0.5000  4 Ca 2.91
10 Tc 0.5000 0.2500 0.0000  4 Ca 2.91
11 Tc 0.5000 0.7500 0.0000  4 Ca 2.91
12 Tc 0.7500 0.0000 0.5000  4 Ca 2.91

Values from the calculation:
- E (eV/atom) = -3.74
- crystal system = cubic
- formation enthalpy at 0 K (eV/atom) = 2.442

***

# 4
## Tb2CeDy6Y3 (PBE)

Data for an optimized crystal structure of Tb2CeDy6Y3.

a = 6.1558 Å, b = 6.1558 Å, c = 11.7828 Å
α = 94.99°, β = 94.99°, γ = 119.98°
Last column: nearest neighbours and their distance in Å.
Sites, in units of the cell vectors:
1 Tb 0.1666 0.8334 0.0000  6 Dy 3.55, 3 Tb 3.55-3.56, 3 Ce 3.55
2 Tb 0.8334 0.1666 0.0000  6 Dy 3.55, 3 Tb 3.55-3.56, 3 Ce 3.55
3 Ce 0.5000 0.5000 0.0000  6 Dy 3.54, 6 Tb 3.55
4 Dy 0.0856 0.4168 0.7508  6 Dy 3.53-3.57, 1 Ce 3.54, 2 Tb 3.55, 3 Y 3.56-3.57
5 Dy 0.2518 0.2518 0.2494  6 Dy 3.53-3.57, 1 Ce 3.54, 2 Tb 3.55, 3 Y 3.56-3.57
6 Dy 0.4168 0.0856 0.7508  6 Dy 3.53-3.57, 1 Ce 3.54, 2 Tb 3.55, 3 Y 3.56-3.57
7 Dy 0.5832 0.9144 0.2492  6 Dy 3.53-3.57, 1 Ce 3.54, 2 Tb 3.55, 3 Y 3.56-3.57
8 Dy 0.7482 0.7482 0.7506  6 Dy 3.53-3.57, 1 Ce 3.54, 2 Tb 3.55, 3 Y 3.56-3.57
9 Dy 0.9144 0.5832 0.2492  6 Dy 3.53-3.57, 1 Ce 3.54, 2 Tb 3.55, 3 Y 3.56-3.57
10 Y 0.0000 0.0000 0.5000  6 Y 3.55-3.56, 6 Dy 3.56-3.57
11 Y 0.3327 0.6673 0.5000  6 Y 3.55-3.57, 6 Dy 3.56-3.57
12 Y 0.6673 0.3327 0.5000  6 Y 3.55-3.57, 6 Dy 3.56-3.57

Values from the calculation:
- E (eV/atom) = -5.15
- crystal system = monoclinic
- formation enthalpy at 0 K (eV/atom) = 0.037

***

# 5
## Ti2Co2Sn (PBE)

Data for an optimized crystal structure of Ti2Co2Sn.

a = 7.9655 Å, b = 7.9655 Å, c = 7.9655 Å
α = 156.01°, β = 156.01°, γ = 34.19°
Last column: nearest neighbours and their distance in Å.
Sites, in units of the cell vectors:
1 Ti 0.1328 0.1328 0.0000  4 Co 2.43
2 Ti 0.8672 0.8672 0.0000  4 Co 2.43
3 Co 0.2500 0.7500 0.5000  4 Co 2.34, 4 Ti 2.43
4 Co 0.7500 0.2500 0.5000  4 Co 2.34, 4 Ti 2.43
5 Sn 0.5000 0.5000 0.0000  8 Ti 3.09, 4 Sn 3.31

Values from the calculation:
- E (eV/atom) = -6.82
- crystal system = tetragonal
- formation enthalpy at 0 K (eV/atom) = -0.022

***

# 6
## TmScSi (PBE)

Data for an optimized crystal structure of TmScSi.

a = 4.5187 Å, b = 4.5598 Å, c = 6.7769 Å
α = 90.00°, β = 109.53°, γ = 90.00°
Last column: nearest neighbours and their distance in Å.
Sites, in units of the cell vectors:
1 Tm 0.1048 0.2500 0.2108  4 Si 2.92-2.93, 4 Sc 3.21
2 Tm 0.8952 0.7500 0.7892  4 Si 2.92-2.93, 4 Sc 3.21
3 Sc 0.3897 0.2500 0.7785  4 Si 2.88-2.89, 4 Tm 3.21
4 Sc 0.6103 0.7500 0.2215  4 Si 2.88-2.89, 4 Tm 3.21
5 Si 0.2500 0.7500 0.5001  4 Sc 2.88-2.89, 4 Tm 2.92-2.93, 4 Si 3.21
6 Si 0.7500 0.2500 0.4999  4 Sc 2.88-2.89, 4 Tm 2.92-2.93, 4 Si 3.21

Values from the calculation:
- E_form (uncorrected) (eV per atom) = -0.38
- E (eV/atom) = -5.79
- crystal system = monoclinic

***

# 7
## CaTi2Pd2 (PBE)

Data for an optimized crystal structure of CaTi2Pd2.

a = 8.0157 Å, b = 8.0157 Å, c = 2.8393 Å
α = 90.00°, β = 90.00°, γ = 90.00°
Last column: nearest neighbours and their distance in Å.
Sites, in units of the cell vectors:
1 Ca 0.0000 0.0000 0.0000  2 Ca 2.84
2 Ca 0.5000 0.5000 0.0000  2 Ca 2.84
3 Ti 0.1222 0.3778 0.0000  6 Pd 2.72-2.79, 3 Ti 2.77-2.84
4 Ti 0.3778 0.8778 0.0000  6 Pd 2.72-2.79, 3 Ti 2.77-2.84
5 Ti 0.6222 0.1222 0.0000  6 Pd 2.72-2.79, 3 Ti 2.77-2.84
6 Ti 0.8778 0.6222 0.0000  6 Pd 2.72-2.79, 3 Ti 2.77-2.84
7 Pd 0.1730 0.6730 0.5000  6 Ti 2.72-2.79, 2 Pd 2.84
8 Pd 0.3270 0.1730 0.5000  6 Ti 2.72-2.79, 2 Pd 2.84
9 Pd 0.6730 0.8270 0.5000  6 Ti 2.72-2.79, 2 Pd 2.84
10 Pd 0.8270 0.3270 0.5000  6 Ti 2.72-2.79, 2 Pd 2.84

Values from the calculation:
- E (eV/atom) = -5.98
- crystal system = tetragonal
- formation enthalpy at 0 K (eV/atom) = -0.343

***

# 8
## Tb8ThIn2 (PBE)

Data for an optimized crystal structure of Tb8ThIn2.

a = 9.9918 Å, b = 9.9918 Å, c = 5.3601 Å
α = 93.72°, β = 93.72°, γ = 39.86°
Last column: nearest neighbours and their distance in Å.
Sites, in units of the cell vectors:
1 Tb 0.0458 0.0458 0.2370  1 Tb 2.97, 1 In 3.13
2 Tb 0.1093 0.6253 0.2744  7 Tb 3.30-3.68, 3 In 3.39-3.49, 1 Th 3.46
3 Tb 0.3017 0.3017 0.7661  4 In 3.15-3.42, 4 Tb 3.40-3.46
4 Tb 0.3747 0.8907 0.7256  7 Tb 3.30-3.68, 3 In 3.39-3.49, 1 Th 3.46
5 Tb 0.6253 0.1093 0.2744  7 Tb 3.30-3.68, 3 In 3.39-3.49, 1 Th 3.46
6 Tb 0.6983 0.6983 0.2339  4 In 3.15-3.42, 4 Tb 3.40-3.46
7 Tb 0.8907 0.3747 0.7256  7 Tb 3.30-3.68, 3 In 3.39-3.49, 1 Th 3.46
8 Tb 0.9542 0.9542 0.7630  1 Tb 2.97, 1 In 3.13
9 Th 0.5000 0.5000 0.0000  10 Tb 3.46-3.85
10 In 0.2124 0.2124 0.2421  11 Tb 3.13-3.49
11 In 0.7876 0.7876 0.7579  11 Tb 3.13-3.49

Values from the calculation:
- E (eV/atom) = -4.57
- crystal system = monoclinic
- formation enthalpy at 0 K (eV/atom) = -0.030

***

# 9
## Mg3TiGe (PBE)

Data for an optimized crystal structure of Mg3TiGe.

a = 5.2815 Å, b = 5.2815 Å, c = 5.2815 Å
α = 90.00°, β = 90.00°, γ = 90.00°
Last column: nearest neighbours and their distance in Å.
Sites, in units of the cell vectors:
1 Mg 0.0000 0.0000 0.5000  2 Ti 2.64
2 Mg 0.0000 0.5000 0.0000  2 Ti 2.64
3 Mg 0.5000 0.0000 0.0000  2 Ti 2.64
4 Ti 0.0000 0.0000 0.0000  6 Mg 2.64
5 Ge 0.5000 0.5000 0.5000  12 Mg 3.73

Values from the calculation:
- E (eV/atom) = -2.37
- crystal system = cubic
- formation enthalpy at 0 K (eV/atom) = 1.093

***

# 10
## K3HPd (PBE)

Data for an optimized crystal structure of K3HPd.

a = 5.2571 Å, b = 5.2571 Å, c = 5.2571 Å
α = 90.00°, β = 90.00°, γ = 90.00°
Last column: nearest neighbours and their distance in Å.
Sites, in units of the cell vectors:
1 K 0.0000 0.0000 0.5000  2 H 2.63
2 K 0.0000 0.5000 0.0000  2 H 2.63
3 K 0.5000 0.0000 0.0000  2 H 2.63
4 H 0.0000 0.0000 0.0000  6 K 2.63
5 Pd 0.5000 0.5000 0.5000  12 K 3.72

Values from the calculation:
- E (eV/atom) = -2.38
- crystal system = cubic

***

# 11
## Cd2SbPb (PBE)

Data for an optimized crystal structure of Cd2SbPb.

a = 10.9321 Å, b = 10.9321 Å, c = 10.9321 Å
α = 17.90°, β = 17.90°, γ = 17.90°
Last column: nearest neighbours and their distance in Å.
Sites, in units of the cell vectors:
1 Cd 0.2467 0.2467 0.2467  3 Sb 3.24, 6 Cd 3.40, 3 Pb 3.42
2 Cd 0.7533 0.7533 0.7533  3 Sb 3.24, 6 Cd 3.40, 3 Pb 3.42
3 Sb 0.5000 0.5000 0.5000  6 Cd 3.24, 6 Sb 3.40
4 Pb 0.0000 0.0000 0.0000  6 Pb 3.40, 6 Cd 3.42

Values from the calculation:
- E_form (uncorrected) (eV per atom) = 0.11
- E (eV/atom) = -2.31
- crystal system = trigonal

***

# 12
## DyAsCl (PBE)

Data for an optimized crystal structure of DyAsCl.

a = 4.1086 Å, b = 4.1086 Å, c = 11.9577 Å
α = 90.00°, β = 90.00°, γ = 120.00°
Last column: nearest neighbours and their distance in Å.
Sites, in units of the cell vectors:
1 Dy 0.3333 0.6667 0.3086  3 Cl 2.86, 4 As 2.89-2.93
2 Dy 0.6667 0.3333 0.6914  3 Cl 2.86, 4 As 2.89-2.93
3 As 0.3333 0.6667 0.5535  3 As 2.70, 4 Dy 2.89-2.93
4 As 0.6667 0.3333 0.4465  3 As 2.70, 4 Dy 2.89-2.93
5 Cl 0.0000 0.0000 0.1755  3 Dy 2.86
6 Cl 0.0000 0.0000 0.8245  3 Dy 2.86

Values from the calculation:
- E_form (uncorrected) (eV per atom) = -1.28
- E (eV/atom) = -4.98
- crystal system = trigonal